First-principles (SCAN) data for a PBEsol-optimized structure of MgSe, as listed in the Alexandria database.

Values from the calculation:
Magnetization: 0.000 μB/cell
Crystal system: trigonal
Calculated density: 2.836 g/cm3
Uncorrected formation energy: -1.333 eV/atom
Final energy: -13.859 eV/atom

Cell: 4.327 4.327 7.866 Å, 74.03 74.03 60.00°
Fractional positions:
Mg (0.214, 0.214, 0.358)
Mg (0.786, 0.786, 0.642)
Se (0.094, 0.094, 0.718)
Se (0.906, 0.906, 0.282)